No. 1
# In2Sb2Au7

In2Sb2Au7 after structural relaxation (PBE, Alexandria via LeMat-Bulk).

Computed properties:
- E (eV per formula unit) = -36.86
- space group = C2/m, No. 12
- crystal system = monoclinic
- energy relative to the elements, uncorrected (eV/atom) = -0.02

Cell lengths 4.740, 8.114, 8.117 Å; angles 101.49, 68.89, 68.91 degrees
Atoms (fractional coordinates):
Au 0.702 0.632 0.006
Au 0.137 0.588 0.589
Au 0.702 0.006 0.632
Au 0.298 0.994 0.368
Au 0.500 0.000 0.000
Au 0.298 0.368 0.994
Au 0.863 0.412 0.411
In 0.000 0.743 0.257
In 0.000 0.257 0.743
Sb 0.580 0.243 0.243
Sb 0.420 0.757 0.757

***

No. 2
# Pr2Er2Tm2Mg

Pr2Er2Tm2Mg after structural relaxation (PBE, Alexandria via LeMat-Bulk).

Computed properties:
- E (eV per formula unit) = -28.56
- space group = C2/m, No. 12
- E_form (eV per atom) = 0.0946
- crystal system = monoclinic

Cell lengths 3.628, 6.327, 11.554 Å; angles 117.26, 90.00, 106.66 degrees
Atoms (fractional coordinates):
Mg 0.000 0.000 0.500
Pr 0.473 0.946 0.253
Pr 0.527 0.054 0.747
Er 0.318 0.636 0.912
Er 0.682 0.364 0.088
Tm 0.745 0.490 0.626
Tm 0.255 0.510 0.374

***

No. 3
# Cd3ReRu

Cd3ReRu after structural relaxation (PBE, Alexandria via LeMat-Bulk).

Computed properties:
- E (eV per formula unit) = -15.49
- polymorph energy (0 for the lowest one) (meV per atom) = 120.6
- space group = Pm-3m, No. 221
- E_form (eV per atom) = 1.7968
- crystal system = cubic

Cell lengths 5.182, 5.182, 5.182 Å; angles 90.00, 90.00, 90.00 degrees
Atoms (fractional coordinates):
Cd 0.500 0.000 0.000
Cd 0.000 0.500 0.000
Cd 0.000 0.000 0.500
Re 0.000 0.000 0.000
Ru 0.500 0.500 0.500

***

No. 4
# NaAg2Cl6

NaAg2Cl6 after structural relaxation (PBE, Alexandria via LeMat-Bulk).

Computed properties:
- E (eV per formula unit) = -22.93
- space group = C2/c, No. 15
- crystal system = monoclinic
- energy relative to the elements, uncorrected (eV/atom) = -0.54

Cell lengths 8.088, 8.976, 8.976 Å; angles 72.30, 72.48, 72.48 degrees
Atoms (fractional coordinates):
Cl 0.386 0.444 0.723
Cl 0.079 0.404 0.162
Cl 0.971 0.084 0.123
Cl 0.579 0.162 0.404
Cl 0.614 0.556 0.277
Cl 0.886 0.723 0.444
Cl 0.114 0.277 0.556
Cl 0.529 0.877 0.916
Cl 0.421 0.838 0.596
Cl 0.921 0.596 0.838
Cl 0.471 0.123 0.084
Cl 0.029 0.916 0.877
Ag 0.808 0.307 0.238
Ag 0.192 0.693 0.762
Ag 0.308 0.238 0.307
Ag 0.692 0.762 0.693
Na 0.250 0.165 0.835
Na 0.750 0.835 0.165

***

No. 5
# Pm2PdSe

Pm2PdSe after structural relaxation (PBE, Alexandria via LeMat-Bulk).

Computed properties:
- E (eV per formula unit) = -22.95
- polymorph energy (0 for the lowest one) (meV per atom) = 115.5
- space group = R3m, No. 160
- crystal system = trigonal
- energy relative to the elements, uncorrected (eV/atom) = -1.19

Cell lengths 4.106, 4.106, 7.778 Å; angles 74.69, 74.69, 60.00 degrees
Atoms (fractional coordinates):
Pm 0.257 0.257 0.228
Pm 0.076 0.076 0.771
Pd 0.667 0.667 0.999
Se 0.499 0.499 0.502

***

No. 6
# ThTi2F11

ThTi2F11 after structural relaxation (PBE, Alexandria via LeMat-Bulk).

Computed properties:
- E (eV per formula unit) = -93.87
- space group = Ibam, No. 72
- crystal system = orthorhombic
- energy relative to the elements, uncorrected (eV/atom) = -3.58

Cell lengths 7.422, 8.225, 8.225 Å; angles 72.42, 63.18, 63.18 degrees
Atoms (fractional coordinates):
F 0.461 0.947 0.328
F 0.961 0.828 0.447
F 0.135 0.223 0.777
F 0.111 0.556 0.700
F 0.737 0.672 0.053
F 0.633 0.700 0.556
F 0.039 0.172 0.553
F 0.237 0.553 0.172
F 0.263 0.328 0.947
F 0.133 0.056 0.200
F 0.635 0.277 0.723
F 0.889 0.444 0.300
F 0.865 0.777 0.223
F 0.763 0.447 0.828
F 0.611 0.200 0.056
F 0.389 0.800 0.944
F 0.867 0.944 0.800
F 0.000 0.000 0.000
F 0.500 0.500 0.500
F 0.365 0.723 0.277
F 0.539 0.053 0.672
F 0.367 0.300 0.444
Th 0.250 0.250 0.250
Th 0.750 0.750 0.750
Ti 0.629 0.679 0.321
Ti 0.871 0.179 0.821
Ti 0.371 0.321 0.679
Ti 0.129 0.821 0.179

***

No. 7
# DyURu

DyURu after structural relaxation (PBE, Alexandria via LeMat-Bulk).

Computed properties:
- E (eV per formula unit) = -25.82
- polymorph energy (0 for the lowest one) (meV per atom) = 0.0
- space group = R-3m, No. 166
- E_form (eV per atom) = -0.2186
- crystal system = trigonal

Cell lengths 5.845, 5.845, 13.160 Å; angles 77.17, 77.17, 60.00 degrees
Atoms (fractional coordinates):
Dy 0.257 0.257 0.228
Dy 0.743 0.743 0.772
Dy 0.822 0.822 0.534
Dy 0.178 0.178 0.466
Dy 0.950 0.950 0.150
Dy 0.050 0.050 0.850
U 0.000 0.500 0.000
U 0.500 0.000 0.000
U 0.394 0.394 0.817
U 0.500 0.500 0.000
U 0.500 0.500 0.500
U 0.606 0.606 0.183
Ru 0.717 0.222 0.343
Ru 0.717 0.717 0.343
Ru 0.778 0.283 0.657
Ru 0.283 0.283 0.657
Ru 0.283 0.778 0.657
Ru 0.222 0.717 0.343

***

No. 8
# ScCo2HRh

ScCo2HRh after structural relaxation (PBE, Alexandria via LeMat-Bulk).

Computed properties:
- E (eV per formula unit) = -32.66
- polymorph energy (0 for the lowest one) (meV per atom) = 0.0
- space group = P4/mmm, No. 123
- crystal system = tetragonal

Cell lengths 3.687, 3.687, 4.164 Å; angles 90.00, 90.00, 90.00 degrees
Atoms (fractional coordinates):
Sc 0.000 0.000 0.500
Co 0.000 0.500 0.000
Co 0.500 0.000 0.000
H 0.000 0.000 0.000
Rh 0.500 0.500 0.500

***

no.,D(E_F) (states/eV per cell)
1,2.7
2,8.5
3,4.5
4,6.8
5,1.8
6,11.4
7,26.8
8,5.6